Density functional theory data (PBE) for an optimized crystal structure of NaNbCdNi.

abc: 4.526 4.526 4.526
angles: 60.00 60.00 60.00
Sites, in units of the cell vectors:
Na  0.000  0.000  0.000
Nb  0.750  0.750  0.750
Cd  0.250  0.250  0.250
Ni  0.500  0.500  0.500

Calculated values
Energy relative to the lowest polymorph listed for this composition = 0 meV/atom